Record 1
BC after structural relaxation, computed with PBE-GGA.

Summary:
crystal system: monoclinic
offset from the most stable computed form: 0.106 eV per atom
calculated volume: 16.7 Å³/f.u.
energy of formation: 0.514 eV/f.u.
VASP energy: -7.69 eV per atom

a = 2.662 Å, b = 4.724 Å, c = 8.025 Å
α = 84.02°, β = 90.00°, γ = 90.00°
Atoms (fractional coordinates):
B  0.000  0.060  0.366
B  0.500  0.559  0.356
B  0.000  0.364  0.572
B  0.500  0.440  0.884
B  0.000  0.941  0.894
B  0.500  0.136  0.678
C  0.500  0.883  0.394
C  0.000  0.617  0.856
C  0.000  0.670  0.658
C  0.500  0.110  0.882
C  0.000  0.390  0.368
C  0.500  0.830  0.592

Record 2
B7C5 after structural relaxation, computed with PBE-GGA.

Summary:
crystal system: monoclinic
offset from the most stable computed form: 0.246 eV per atom
calculated volume: 86.6 Å³/f.u.
energy of formation: 4.920 eV/f.u.
VASP energy: -7.33 eV per atom

a = 2.693 Å, b = 3.920 Å, c = 8.217 Å
α = 93.72°, β = 90.00°, γ = 90.00°
Atoms (fractional coordinates):
B  0.000  0.953  0.329
B  0.000  0.927  0.703
B  0.000  0.272  0.199
B  0.000  0.960  0.966
B  0.500  0.564  0.159
B  0.000  0.323  0.463
B  0.500  0.491  0.828
C  0.500  0.729  0.663
C  0.500  0.755  0.354
C  0.500  0.770  0.004
C  0.000  0.242  0.832
C  0.500  0.515  0.501

> Number 1 is which compound?

BC

> Among the records above, which one has the highest energy of formation?

B7C5

> Which value of calculated volume does entry 1 give?

16.7 Å³/f.u.